A crystal of FeNiPSe2 relaxed with PBEsol. Source: Alexandria via LeMat-Bulk, functional SCAN.

extended XYZ file:
```
5
Lattice="4.035 0.000 0.000 0.000 4.674 0.000 0.000 0.000 4.674" Properties=species:S:1:pos:R:3 pbc="T T T"
Se 0.000 0.000 2.337
P 2.017 0.000 0.000
Ni 2.017 2.337 2.337
Se 0.000 2.337 0.000
Fe 0.000 0.000 0.000
```

Uncorrected formation energy: 0.7704 eV per atom
Total moment: 3.07 μB per formula unit
Space-group type: P4/mmm, No. 123
Energy: -16.20 eV/atom
N(E_F): 4.44 states/eV/cell

***

A crystal of FeNiPb2 relaxed with PBEsol. Source: Alexandria via LeMat-Bulk, functional SCAN.

extended XYZ file:
```
4
Lattice="4.659 0.000 0.000 2.329 4.035 0.000 2.329 1.345 3.804" Properties=species:S:1:pos:R:3 pbc="T T T"
Fe 0.000 0.000 0.000
Pb 6.988 4.035 2.853
Ni 4.659 2.690 1.902
Pb 2.329 1.345 0.951
```

Total moment: 2.73 μB per formula unit
Space-group type: Fm-3m, No. 225
ΔE_f: 0.552 eV/atom
Energy: -45.91 eV/atom
N(E_F): 2.68 states/eV/cell

***

A crystal of FeNiPb relaxed with PBEsol. Source: Alexandria via LeMat-Bulk, functional SCAN.

extended XYZ file:
```
3
Lattice="4.157 0.000 0.000 2.079 3.600 0.000 2.079 1.200 3.395" Properties=species:S:1:pos:R:3 pbc="T T T"
Ni 6.236 3.600 2.546
Pb 0.000 0.000 0.000
Fe 4.157 2.400 1.697
```

Total moment: 3.93 μB per formula unit
Space-group type: F-43m, No. 216
ΔE_f: 0.232 eV/atom
Energy: -36.46 eV/atom
N(E_F): 0.94 states/eV/cell

***

A crystal of Fe2Ni2Pd relaxed with PBEsol. Source: Alexandria via LeMat-Bulk, functional SCAN.

extended XYZ file:
```
10
Lattice="2.591 0.000 0.000 0.000 6.759 0.000 0.000 0.000 6.759" Properties=species:S:1:pos:R:3 pbc="T T T"
Fe 1.296 2.230 1.150
Ni 0.000 4.233 0.853
Ni 0.000 5.906 4.233
Fe 1.296 1.150 4.529
Fe 1.296 4.529 5.609
Fe 1.296 5.609 2.230
Ni 0.000 0.853 2.526
Ni 0.000 2.526 5.906
Pd 0.000 3.380 3.380
Pd 0.000 0.000 0.000
```

Total moment: 7.96 μB per formula unit
Space-group type: P4/mbm, No. 127
ΔE_f: -0.093 eV/atom
Energy: -20.37 eV/atom
N(E_F): 4.74 states/eV/cell

***

A crystal of FeNiPd2 relaxed with PBEsol. Source: Alexandria via LeMat-Bulk, functional SCAN.

extended XYZ file:
```
4
Lattice="-0.778 -4.049 -0.723 0.430 -1.557 -3.862 3.152 -2.615 -0.863" Properties=species:S:1:pos:R:3 pbc="T T T"
Ni 1.402 -4.111 -2.724
Pd 0.701 -2.055 -1.362
Fe 0.000 0.000 0.000
Pd 2.103 -6.166 -4.086
```

Total moment: 4.58 μB per formula unit
Space-group type: Fm-3m, No. 225
ΔE_f: -0.073 eV/atom
Energy: -25.04 eV/atom
N(E_F): 2.93 states/eV/cell

***

A crystal of Fe4Ni4PdS8 relaxed with PBEsol. Source: Alexandria via LeMat-Bulk, functional SCAN.

extended XYZ file:
```
17
Lattice="-1.126 -4.523 -5.213 3.370 -6.127 -0.102 -3.496 -5.934 1.213" Properties=species:S:1:pos:R:3 pbc="T T T"
S 0.795 -9.459 -3.667
Ni -2.749 -11.465 -3.530
Ni -0.540 -12.253 -1.019
Fe -0.157 -2.085 -0.516
S 1.352 -7.220 -1.086
S -2.604 -9.364 -3.016
Fe -1.895 -5.035 0.087
Pd -0.626 -8.292 -2.051
S -0.939 -12.438 -3.076
Ni 0.625 -11.560 -4.176
S -0.874 -6.426 -3.616
S -0.379 -10.158 -0.485
Fe -0.717 -4.334 -3.107
S -2.047 -7.125 -0.435
S -0.313 -4.146 -1.025
Fe 1.517 -5.130 -0.567
Ni -1.093 -14.475 -3.580
```

Uncorrected formation energy: -0.4019 eV per atom
Total moment: 0.00 μB per formula unit
Space-group type: F-43m, No. 216
Energy: -14.93 eV/atom
N(E_F): 8.43 states/eV/cell